(1)
{"formula": "K2PuNp2S6", "functional": "PBE", "state": "optimized geometry", "lattice": [[-3.1744, 3.9809, 4.8129], [5.4903, -3.9674, 1.7902], [3.8465, 5.6424, -3.8108]], "species": ["S", "S", "S", "S", "S", "S", "Np", "Np", "Pu", "K", "K"], "fractional_positions": [[0.4010, 0.0607, 0.6920], [0.5990, 0.9393, 0.3080], [0.7284, 0.7284, 0.6931], [0.0607, 0.4010, 0.6920], [0.9393, 0.5990, 0.3080], [0.2716, 0.2716, 0.3069], [0.6657, 0.3343, 0.5000], [0.3343, 0.6657, 0.5000], [0.0000, 0.0000, 0.5000], [0.1661, 0.8339, 0.0000], [0.8339, 0.1661, 0.0000]], "space_group": "C2/m, No. 12", "dos_ef_per_ev_cell": 29.34, "raw_formation_energy_ev_per_fu": -16.30}

(2)
{"formula": "CsZnF4", "functional": "PBE", "state": "optimized geometry", "lattice": [[4.0502, 0.0000, 0.0000], [0.0000, 4.0502, 0.0000], [0.0000, 0.0000, 6.2303]], "species": ["Cs", "F", "F", "F", "F", "Zn"], "fractional_positions": [[0.0000, 0.0000, 0.0000], [0.5000, 0.0000, 0.5000], [0.5000, 0.5000, 0.8029], [0.0000, 0.5000, 0.5000], [0.5000, 0.5000, 0.1971], [0.5000, 0.5000, 0.5000]], "space_group": "P4/mmm, No. 123", "dos_ef_per_ev_cell": 3.83, "raw_formation_energy_ev_per_fu": -12.77}

(3)
{"formula": "Sm7Ga2Pb2", "functional": "PBE", "state": "optimized geometry", "lattice": [[6.9940, -0.0027, -0.8996], [0.0032, 7.4076, 0.0033], [-1.3336, -0.0024, 6.9243]], "species": ["Sm", "Sm", "Sm", "Sm", "Sm", "Sm", "Sm", "Ga", "Ga", "Pb", "Pb"], "fractional_positions": [[0.5000, 0.2378, 0.5000], [0.5000, 0.2763, 0.0000], [0.0000, 0.2763, 0.5000], [0.5000, 0.7622, 0.5000], [0.0000, 0.0000, 0.0000], [0.5000, 0.7237, 0.0000], [0.0000, 0.7237, 0.5000], [0.2823, 0.0000, 0.7177], [0.7177, 0.0000, 0.2823], [0.1841, 0.5000, 0.1841], [0.8159, 0.5000, 0.8159]], "ef_mev_per_atom": -209.1, "space_group": "Cmmm, No. 65", "dos_ef_per_ev_cell": 11.17}

(4)
{"formula": "Hf8FeCo2", "functional": "PBE", "state": "optimized geometry", "lattice": [[-0.1462, -4.1362, -1.9461], [4.0441, 1.7916, -4.1116], [4.7415, -0.6526, 6.4045]], "species": ["Fe", "Hf", "Hf", "Hf", "Hf", "Hf", "Hf", "Hf", "Hf", "Co", "Co"], "fractional_positions": [[0.5000, 0.0000, 0.0000], [0.0335, 0.7581, 0.0670], [0.4112, 0.5570, 0.8224], [0.1959, 0.3252, 0.3917], [0.8041, 0.6748, 0.6083], [0.6666, 0.9648, 0.3331], [0.5888, 0.4430, 0.1776], [0.3334, 0.0352, 0.6669], [0.9665, 0.2419, 0.9330], [0.7973, 0.2677, 0.5947], [0.2027, 0.7323, 0.4053]], "ef_mev_per_atom": -168.2, "space_group": "C2/m, No. 12", "dos_ef_per_ev_cell": 8.21}

(5)
{"formula": "ScAsPd", "functional": "PBE", "state": "optimized geometry", "lattice": [[3.9488, 0.0000, 0.0000], [0.0000, 6.7715, 0.0134], [0.0000, 0.0436, 11.6789]], "species": ["As", "As", "As", "As", "As", "As", "Pd", "Pd", "Pd", "Pd", "Pd", "Pd", "Sc", "Sc", "Sc", "Sc", "Sc", "Sc"], "fractional_positions": [[0.7500, 0.2526, 0.7495], [0.2500, 0.7474, 0.2505], [0.2500, 0.2586, 0.4160], [0.7500, 0.7414, 0.5840], [0.2500, 0.7394, 0.9184], [0.7500, 0.2606, 0.0816], [0.2500, 0.8596, 0.4576], [0.7500, 0.9990, 0.9087], [0.2500, 0.3801, 0.2081], [0.7500, 0.6199, 0.7919], [0.7500, 0.1404, 0.5424], [0.2500, 0.0010, 0.0913], [0.7500, 0.0430, 0.2904], [0.7500, 0.5391, 0.3781], [0.2500, 0.3333, 0.9192], [0.7500, 0.6667, 0.0808], [0.2500, 0.9570, 0.7096], [0.2500, 0.4609, 0.6219]], "ef_mev_per_atom": -1117.8, "space_group": "P2_1/m, No. 11", "dos_ef_per_ev_cell": 3.31}

(6)
{"formula": "V4Sb2H", "functional": "PBE", "state": "optimized geometry", "lattice": [[3.9974, 0.0000, 0.0000], [0.0000, 3.9974, 0.0000], [-1.9987, -1.9987, 6.5063]], "species": ["V", "V", "V", "V", "H", "Sb", "Sb"], "fractional_positions": [[0.5000, 0.0000, 0.0000], [0.8606, 0.8606, 0.7211], [0.1394, 0.1394, 0.2789], [0.0000, 0.5000, 0.0000], [0.0000, 0.0000, 0.0000], [0.3502, 0.3502, 0.7004], [0.6498, 0.6498, 0.2996]], "space_group": "I4/mmm, No. 139", "dos_ef_per_ev_cell": 4.49, "dft_energy_ev_per_atom": -6.996}

(7)
{"formula": "K2BaIn2Sn2", "functional": "PBE", "state": "optimized geometry", "lattice": [[-0.1881, 4.9975, 0.7324], [-0.7605, 3.1015, -3.9178], [-11.2735, 2.0507, 0.5516]], "species": ["K", "K", "Sn", "Sn", "In", "In", "Ba"], "fractional_positions": [[0.8586, 0.8586, 0.4241], [0.1414, 0.1414, 0.5759], [0.7323, 0.7323, 0.8032], [0.2677, 0.2677, 0.1968], [0.5783, 0.5783, 0.2652], [0.4217, 0.4217, 0.7348], [0.0000, 0.0000, 0.0000]], "ef_mev_per_atom": -275.7, "space_group": "R-3m, No. 166", "dos_ef_per_ev_cell": 3.74}

(8)
{"formula": "LaY3Tm", "functional": "PBE", "state": "optimized geometry", "lattice": [[-2.8733, 0.9815, -1.9161], [1.9770, -8.9400, 2.5667], [-5.9161, 7.0623, 9.0837]], "species": ["Y", "Y", "Y", "Y", "Y", "Y", "Tm", "Tm", "La", "La"], "fractional_positions": [[0.9914, 0.1438, 0.4482], [0.0015, 0.3511, 0.0500], [0.0065, 0.9556, 0.8522], [0.9935, 0.0444, 0.1478], [0.9985, 0.6489, 0.9500], [0.0086, 0.8562, 0.5518], [0.0040, 0.7511, 0.2465], [0.9960, 0.2489, 0.7535], [0.9942, 0.5471, 0.6518], [0.0058, 0.4529, 0.3482]], "ef_mev_per_atom": 30.2, "space_group": "P-1, No. 2", "dos_ef_per_ev_cell": 15.84, "polymorph_energy_mev_per_atom": 0}

(9)
{"formula": "SmDyAl", "functional": "PBE", "state": "optimized geometry", "lattice": [[5.3055, 0.0000, 0.0000], [-2.6527, 4.5988, 0.0000], [0.0000, 0.0000, 6.6853]], "species": ["Dy", "Dy", "Al", "Al", "Sm", "Sm"], "fractional_positions": [[0.3333, 0.6666, 0.7500], [0.6667, 0.3334, 0.2500], [0.3335, 0.6671, 0.2500], [0.6665, 0.3329, 0.7500], [0.0000, 0.0000, 0.5000], [0.0000, 0.0000, 0.0000]], "ef_mev_per_atom": -239.9, "space_group": "P6_3/mmc, No. 194", "dos_ef_per_ev_cell": 7.88, "polymorph_energy_mev_per_atom": 0}

(10)
{"formula": "Li2Al5Ag5", "functional": "PBE", "state": "optimized geometry", "lattice": [[3.9213, 0.0000, 0.8546], [1.6281, 5.8657, 1.9532], [0.1961, -0.1546, 8.5240]], "species": ["Ag", "Ag", "Ag", "Ag", "Ag", "Li", "Li", "Al", "Al", "Al", "Al", "Al"], "fractional_positions": [[0.1557, 0.1814, 0.5072], [0.0000, 0.0000, 0.0000], [0.8443, 0.8186, 0.4928], [0.7458, 0.2723, 0.2360], [0.2542, 0.7277, 0.7640], [0.0835, 0.5844, 0.2486], [0.9165, 0.4156, 0.7514], [0.4109, 0.9252, 0.2530], [0.5891, 0.0748, 0.7470], [0.6603, 0.6743, 0.0051], [0.3397, 0.3257, 0.9949], [0.5000, 0.5000, 0.5000]], "ef_mev_per_atom": -110.2, "space_group": "C2/m, No. 12", "dos_ef_per_ev_cell": 4.81}

(11)
{"formula": "KRu2Br", "functional": "PBE", "state": "optimized geometry", "lattice": [[-2.8841, -0.3041, -1.2928], [1.2790, -1.4693, -2.5074], [-0.9462, -7.3952, 3.8506]], "species": ["Br", "K", "Ru", "Ru"], "fractional_positions": [[0.0000, 0.0000, 0.4720], [0.5000, 0.5000, 0.7440], [0.0000, 0.0000, 0.0714], [0.5000, 0.5000, 0.2126]], "space_group": "P4mm, No. 99", "dos_ef_per_ev_cell": 2.63, "polymorph_energy_mev_per_atom": 63, "raw_formation_energy_ev_per_fu": 1.51}

(12)
{"formula": "CePrAlHg", "functional": "PBE", "state": "optimized geometry", "lattice": [[5.3792, 0.0000, 0.0000], [2.6896, 4.6585, 0.0000], [2.6896, 1.5528, 4.3921]], "species": ["Al", "Pr", "Hg", "Ce"], "fractional_positions": [[0.0000, 0.0000, 0.0000], [0.2500, 0.2500, 0.2500], [0.5000, 0.5000, 0.5000], [0.7500, 0.7500, 0.7500]], "ef_mev_per_atom": -288.1, "space_group": "F-43m, No. 216", "dos_ef_per_ev_cell": 10.86}